[1]
PBE Y2Tm3Ni4, relaxed; energy of formation = -0.415 eV per atom
1.0
7.3013 0.0000 0.0000
0.0000 7.2238 0.0000
-2.1819 0.0000 7.1222
Y Tm Ni
4 6 8
direct
0.1992 0.1786 0.0928
0.1992 0.3214 0.5928
0.8008 0.6786 0.4072
0.8008 0.8214 0.9072
0.2378 0.6708 0.2506
0.2378 0.8292 0.7506
0.5000 0.0000 0.5000
0.5000 0.5000 0.0000
0.7622 0.1708 0.2494
0.7622 0.3292 0.7494
0.0889 0.5304 0.8809
0.0889 0.9696 0.3809
0.5001 0.1194 0.8832
0.5001 0.3806 0.3832
0.4999 0.6194 0.6168
0.4999 0.8806 0.1168
0.9111 0.0304 0.6191
0.9111 0.4696 0.1191

[2]
PBE La3Tc2C4, relaxed; energy of formation = 0.069 eV per atom
1.0
5.9927 -1.7116 0.0000
5.9927 1.7116 0.0000
-0.3501 0.0000 7.3712
La Tc C
3 2 4
direct
0.0000 0.0000 0.0000
0.3761 0.3761 0.5691
0.6239 0.6239 0.4309
0.2805 0.2805 0.1586
0.7195 0.7195 0.8414
0.1706 0.1706 0.6957
0.3410 0.3410 0.9129
0.6590 0.6590 0.0871
0.8294 0.8294 0.3043

[3]
PBE CeY5Ho, relaxed; energy of formation = 0.208 eV per atom
1.0
3.0602 -8.7562 0.0000
3.0602 8.7562 0.0000
-1.9143 0.0000 8.6181
Ce Y Ho
2 10 2
direct
0.0000 0.0000 0.0000
0.0000 0.0000 0.5000
0.0128 0.3883 0.6461
0.1430 0.8570 0.7500
0.2333 0.5410 0.0371
0.3883 0.0128 0.1461
0.4590 0.7667 0.4629
0.5410 0.2333 0.5371
0.6117 0.9872 0.8539
0.7667 0.4590 0.9629
0.8570 0.1430 0.2500
0.9872 0.6117 0.3539
0.4867 0.5133 0.7500
0.5133 0.4867 0.2500

[4]
PBE ZnRuW3, relaxed; energy relative to the lowest polymorph listed for this composition = 0.000 eV per atom; energy of formation = 1.937 eV per atom
1.0
4.6978 0.0000 0.0000
0.0000 4.6978 0.0000
0.0000 0.0000 4.6978
Zn Ru W
1 1 3
direct
0.0000 0.0000 0.0000
0.5000 0.5000 0.5000
0.0000 0.5000 0.5000
0.5000 0.0000 0.5000
0.5000 0.5000 0.0000

[5]
PBE Cr4CuRh5, relaxed; energy of formation = 0.027 eV per atom
1.0
3.0626 0.0000 0.0000
0.0000 3.0626 0.0000
0.0000 0.0000 14.6333
Cr Cu Rh
4 1 5
direct
0.0000 0.0000 0.1019
0.0000 0.0000 0.3085
0.0000 0.0000 0.6915
0.0000 0.0000 0.8981
0.0000 0.0000 0.5000
0.5000 0.5000 0.0000
0.5000 0.5000 0.2031
0.5000 0.5000 0.4000
0.5000 0.5000 0.6000
0.5000 0.5000 0.7969

[6]
PBE RbLaTiSe2, relaxed; formation energy from raw total energies = -20.4 kJ per mole of atoms
1.0
5.1393 0.0000 0.0000
0.0000 5.1393 0.0000
0.0000 0.0000 5.2024
Rb La Ti Se
1 1 1 2
direct
0.0000 0.0000 0.0000
0.5000 0.5000 0.0000
0.0000 0.0000 0.5000
0.0000 0.5000 0.5000
0.5000 0.0000 0.5000

[7]
PBE NaV2NiPb, relaxed; energy of formation = 1.759 eV per atom
1.0
4.5503 0.0000 0.0000
0.0000 4.5503 0.0000
0.0000 0.0000 4.4115
Na V Ni Pb
1 2 1 1
direct
0.0000 0.0000 0.0000
0.0000 0.5000 0.0000
0.5000 0.0000 0.0000
0.0000 0.0000 0.5000
0.5000 0.5000 0.5000

[8]
PBE ReO3, relaxed; formation energy from raw total energies = -155.0 kJ per mole of atoms
1.0
3.7934 0.0000 0.0000
0.0000 3.7934 0.0000
0.0000 0.0000 3.7934
Re O
1 3
direct
0.0000 0.0000 0.0000
0.0000 0.0000 0.5000
0.0000 0.5000 0.0000
0.5000 0.0000 0.0000